Entry from the Alexandria database: a geometry-optimized Ac2GdSb structure (PBE).

Lattice parameters (Å, degrees): 5.2349 5.2349 4.9783 90.00 90.00 90.00
Last column: nearest neighbours and their distance in Å.
Fractional positions:
Ac 0.0000 0.5000 0.0000  4 Gd 3.61, 4 Sb 3.61, 4 Ac 3.70
Ac 0.5000 0.0000 0.0000  4 Gd 3.61, 4 Sb 3.61, 4 Ac 3.70
Gd 0.0000 0.0000 0.5000  8 Ac 3.61, 4 Sb 3.70
Sb 0.5000 0.5000 0.5000  8 Ac 3.61, 4 Gd 3.70

## Properties
As for the magnetization: 7.45 Bohr magnetons per cell. The total energy comes out at -28.203 eV/cell. Its symmetry is P4/mmm, No. 123.